Density functional theory data (GGA-PBE) for YScTlGa2 after structural relaxation.

```
YScTlGa2
1.0
-0.6105 -0.3687 5.1946
-3.8007 -3.7381 -0.7120
3.6592 -3.7518 0.1638
Sc Tl Ga Y
1 1 2 1
Cartesian
-1.9004 -1.8690 -0.3560
0.0000 0.0000 0.0000
1.8296 -1.8759 0.0819
-0.3052 -0.1843 2.5973
-0.3760 -3.9293 2.3232
```

Summary:
- DFT total energy: -18.6 eV per cell
- V: 147.9 Å³ per cell
- Total magnetization: 0.75 μB per cell